A relaxed Ca2Be2Cl crystal. Source: Alexandria, functional PBE.

Output
ΔE_f (raw) = 0.8 eV/f.u.
Crystal system = tetragonal
Calculated density = 1.98 g cm⁻³
E above lowest polymorph = 1.56 eV per formula unit
Uncorrected energy = -24.94 eV for the cell shown

Cell: 5.7037 5.7037 6.9013 Å, 90.00 90.00 90.00°
Space group I4/mmm (No. 139)
Unique sites:
Ca  0.0000  0.5000  0.2500 [4 per cell]
Be  0.0000  0.0000  0.1375 [4 per cell]
Cl  0.0000  0.0000  0.5000 [2 per cell]

***

A relaxed Ca2BeCl crystal. Source: Alexandria, functional PBE.

Output
ΔE_f (raw) = -1.0 eV/f.u.
Crystal system = cubic
Calculated density = 2.08 g cm⁻³
E above lowest polymorph = 1.41 eV per formula unit
Uncorrected energy = -42.17 eV for the cell shown

Cell: 7.3562 7.3562 7.3562 Å, 90.00 90.00 90.00°
Space group Fm-3m (No. 225)
Unique sites:
Ca  0.2500  0.2500  0.2500 [8 per cell]
Be  0.0000  0.0000  0.0000 [4 per cell]
Cl  0.0000  0.0000  0.5000 [4 per cell]

***

A relaxed Ca2BeCl crystal. Source: Alexandria, functional PBE.

Output
ΔE_f (raw) = -1.9 eV/f.u.
Crystal system = orthorhombic
Calculated density = 1.99 g cm⁻³
E above lowest polymorph = 0.44 eV per formula unit
Uncorrected energy = -23.03 eV for the cell shown

Cell: 3.5699 3.7085 15.6984 Å, 90.00 90.00 90.00°
Space group Imm2 (No. 44)
Unique sites:
Ca  0.0000  0.0000  0.0000 [2 per cell]
Ca  0.0000  0.5000  0.2713 [2 per cell]
Be  0.0000  0.0000  0.4130 [2 per cell]
Cl  0.0000  0.5000  0.6692 [2 per cell]

***

A relaxed CaBe2Cl crystal. Source: Alexandria, functional PBE.

Output
ΔE_f (raw) = 2.0 eV/f.u.
Crystal system = trigonal
Calculated density = 1.95 g cm⁻³
E above lowest polymorph = 2.80 eV per formula unit
Uncorrected energy = -27.88 eV for the cell shown

Cell: 3.4158 3.4158 23.6728 Å, 90.00 90.00 120.00°
Space group R-3m (No. 166, hexagonal axes)
Unique sites:
Ca  0.0000  0.0000  0.0000 [3 per cell]
Be  0.0000  0.0000  0.2380 [6 per cell]
Cl  0.0000  0.0000  0.5000 [3 per cell]

***

A relaxed CaBe2Cl crystal. Source: Alexandria, functional PBE.

Output
ΔE_f (raw) = 0.3 eV/f.u.
Crystal system = monoclinic
Calculated density = 1.90 g cm⁻³
E above lowest polymorph = 1.12 eV per formula unit
Uncorrected energy = -10.98 eV for the cell shown

Cell: 3.2714 6.0655 4.1163 Å, 90.00 91.02 90.00°
Space group P2/m (No. 10)
Unique sites:
Ca  0.0000  0.0000  0.0000 [1 per cell]
Be  0.2477  0.5000  0.8125 [2 per cell]
Cl  0.5000  0.0000  0.5000 [1 per cell]

***

A relaxed Ca2BeCl crystal. Source: Alexandria, functional PBE.

Output
ΔE_f (raw) = -1.2 eV/f.u.
Crystal system = orthorhombic
Calculated density = 1.85 g cm⁻³
E above lowest polymorph = 1.17 eV per formula unit
Uncorrected energy = -21.58 eV for the cell shown

Cell: 3.9188 6.5584 8.6998 Å, 90.00 90.00 90.00°
Space group Immm (No. 71)
Unique sites:
Ca  0.0000  0.0000  0.2311 [4 per cell]
Be  0.0000  0.5000  0.0000 [2 per cell]
Cl  0.0000  0.5000  0.5000 [2 per cell]

***

A relaxed Ca2BeCl crystal. Source: Alexandria, functional PBE.

Output
ΔE_f (raw) = -1.0 eV/f.u.
Crystal system = tetragonal
Calculated density = 2.10 g cm⁻³
E above lowest polymorph = 1.41 eV per formula unit
Uncorrected energy = -21.09 eV for the cell shown

Cell: 4.9269 4.9269 8.1060 Å, 90.00 90.00 90.00°
Space group I4/mmm (No. 139)
Unique sites:
Ca  0.0000  0.5000  0.2500 [4 per cell]
Be  0.0000  0.0000  0.0000 [2 per cell]
Cl  0.0000  0.0000  0.5000 [2 per cell]

***

A relaxed CaBe2Cl crystal. Source: Alexandria, functional PBE.

Output
ΔE_f (raw) = 1.0 eV/f.u.
Crystal system = orthorhombic
Calculated density = 1.76 g cm⁻³
E above lowest polymorph = 1.75 eV per formula unit
Uncorrected energy = -20.70 eV for the cell shown

Cell: 4.9521 9.5045 3.7510 Å, 90.00 90.00 90.00°
Space group Cmmm (No. 65)
Unique sites:
Ca  0.0000  0.0000  0.0000 [2 per cell]
Be  0.2500  0.2500  0.5000 [4 per cell]
Cl  0.0000  0.5000  0.0000 [2 per cell]

***

A relaxed CaBe2Cl crystal. Source: Alexandria, functional PBE.

Output
ΔE_f (raw) = 0.8 eV/f.u.
Crystal system = tetragonal
Calculated density = 1.85 g cm⁻³
E above lowest polymorph = 1.60 eV per formula unit
Uncorrected energy = -41.97 eV for the cell shown

Cell: 8.2050 8.2050 4.9775 Å, 90.00 90.00 90.00°
Space group I-42d (No. 122)
Unique sites:
Ca  0.0000  0.0000  0.0000 [4 per cell]
Be  0.2275  0.2500  0.6250 [8 per cell]
Cl  0.0000  0.0000  0.5000 [4 per cell]

***

A relaxed CaBe2Cl crystal. Source: Alexandria, functional PBE.

Output
ΔE_f (raw) = -0.7 eV/f.u.
Crystal system = orthorhombic
Calculated density = 1.80 g cm⁻³
E above lowest polymorph = 0.09 eV per formula unit
Uncorrected energy = -12.01 eV for the cell shown

Cell: 3.0924 3.2714 8.5448 Å, 90.00 90.00 90.00°
Space group Pmm2 (No. 25)
Unique sites:
Ca  0.0000  0.0000  0.0000 [1 per cell]
Be  0.0000  0.0000  0.3378 [1 per cell]
Be  0.5000  0.5000  0.2769 [1 per cell]
Cl  0.5000  0.5000  0.8204 [1 per cell]

***

A relaxed CaBe2Cl crystal. Source: Alexandria, functional PBE.

Output
ΔE_f (raw) = -0.8 eV/f.u.
Crystal system = monoclinic
Calculated density = 1.94 g cm⁻³
E above lowest polymorph = 0.00 eV per formula unit
Uncorrected energy = -24.19 eV for the cell shown

Cell: 6.8178 3.9332 5.9772 Å, 90.00 90.18 90.00°
Space group Cm (No. 8)
Unique sites:
Ca  0.0000  0.0000  0.0000 [2 per cell]
Be  0.1657  0.5000  0.7014 [2 per cell]
Be  0.3326  0.0000  0.6664 [2 per cell]
Cl  0.3338  0.0000  0.2887 [2 per cell]

***

A relaxed CaBe2Cl crystal. Source: Alexandria, functional PBE.

Output
ΔE_f (raw) = 1.9 eV/f.u.
Crystal system = tetragonal
Calculated density = 2.15 g cm⁻³
E above lowest polymorph = 2.71 eV per formula unit
Uncorrected energy = -9.38 eV for the cell shown

Cell: 3.3015 3.3015 6.6445 Å, 90.00 90.00 90.00°
Space group P4/mmm (No. 123)
Unique sites:
Ca  0.0000  0.0000  0.0000 [1 per cell]
Be  0.5000  0.5000  0.3219 [2 per cell]
Cl  0.0000  0.0000  0.5000 [1 per cell]

***

A relaxed Ca2BeCl crystal. Source: Alexandria, functional PBE.

Output
ΔE_f (raw) = -2.4 eV/f.u.
Crystal system = monoclinic
Calculated density = 1.99 g cm⁻³
E above lowest polymorph = 0.00 eV per formula unit
Uncorrected energy = -11.96 eV for the cell shown

Cell: 3.7032 3.5149 7.9970 Å, 90.00 90.18 90.00°
Space group P2/m (No. 10)
Unique sites:
Ca  0.0010  0.0000  0.2181 [2 per cell]
Be  0.5000  0.5000  0.0000 [1 per cell]
Cl  0.0000  0.5000  0.5000 [1 per cell]

***

A relaxed CaBeCl crystal. Source: Alexandria, functional PBE.

Output
ΔE_f (raw) = 0.0 eV/f.u.
Crystal system = cubic
Calculated density = 1.71 g cm⁻³
E above lowest polymorph = 0.97 eV per formula unit
Uncorrected energy = -30.31 eV for the cell shown

Cell: 6.9037 6.9037 6.9037 Å, 90.00 90.00 90.00°
Space group F-43m (No. 216)
Unique sites:
Ca  0.0000  0.0000  0.0000 [4 per cell]
Be  0.2500  0.2500  0.7500 [4 per cell]
Cl  0.2500  0.2500  0.2500 [4 per cell]

***

A relaxed Ca2Be2Cl crystal. Source: Alexandria, functional PBE.

Output
ΔE_f (raw) = -0.7 eV/f.u.
Crystal system = tetragonal
Calculated density = 2.11 g cm⁻³
E above lowest polymorph = 0.00 eV per formula unit
Uncorrected energy = -28.05 eV for the cell shown

Cell: 3.4323 3.4323 17.8846 Å, 90.00 90.00 90.00°
Space group I4/mmm (No. 139)
Unique sites:
Ca  0.0000  0.0000  0.1158 [4 per cell]
Be  0.0000  0.5000  0.2500 [4 per cell]
Cl  0.0000  0.0000  0.5000 [2 per cell]

***

A relaxed CaBe2Cl crystal. Source: Alexandria, functional PBE.

Output
ΔE_f (raw) = 1.9 eV/f.u.
Crystal system = orthorhombic
Calculated density = 1.99 g cm⁻³
E above lowest polymorph = 2.69 eV per formula unit
Uncorrected energy = -18.81 eV for the cell shown

Cell: 3.5782 5.5528 7.8602 Å, 90.00 90.00 90.00°
Space group Cmmm (No. 65)
Unique sites:
Ca  0.0000  0.0000  0.0000 [2 per cell]
Be  0.0000  0.5000  0.2839 [4 per cell]
Cl  0.0000  0.0000  0.5000 [2 per cell]

***

A relaxed Ca2BeCl crystal. Source: Alexandria, functional PBE.

Output
ΔE_f (raw) = -2.3 eV/f.u.
Crystal system = monoclinic
Calculated density = 2.01 g cm⁻³
E above lowest polymorph = 0.06 eV per formula unit
Uncorrected energy = -23.80 eV for the cell shown

Cell: 6.8165 3.9236 8.0202 Å, 90.00 106.49 90.00°
Space group C2/m (No. 12)
Unique sites:
Ca  0.2456  0.0000  0.2341 [4 per cell]
Be  0.0000  0.5000  0.0000 [2 per cell]
Cl  0.0000  0.0000  0.5000 [2 per cell]

***

A relaxed CaBe2Cl crystal. Source: Alexandria, functional PBE.

Output
ΔE_f (raw) = 0.4 eV/f.u.
Crystal system = tetragonal
Calculated density = 1.90 g cm⁻³
E above lowest polymorph = 1.20 eV per formula unit
Uncorrected energy = -10.89 eV for the cell shown

Cell: 3.6524 3.6524 6.1345 Å, 90.00 90.00 90.00°
Space group P4/mmm (No. 123)
Unique sites:
Ca  0.0000  0.0000  0.0000 [1 per cell]
Be  0.0000  0.5000  0.5000 [2 per cell]
Cl  0.5000  0.5000  0.0000 [1 per cell]

***

A relaxed CaBe2Cl crystal. Source: Alexandria, functional PBE.

Output
ΔE_f (raw) = 0.3 eV/f.u.
Crystal system = tetragonal
Calculated density = 1.98 g cm⁻³
E above lowest polymorph = 1.11 eV per formula unit
Uncorrected energy = -21.98 eV for the cell shown

Cell: 3.6775 3.6775 11.6043 Å, 90.00 90.00 90.00°
Space group I4/mmm (No. 139)
Unique sites:
Ca  0.0000  0.0000  0.0000 [2 per cell]
Be  0.0000  0.5000  0.2500 [4 per cell]
Cl  0.0000  0.0000  0.5000 [2 per cell]

***

A relaxed CaBeCl crystal. Source: Alexandria, functional PBE.

Output
ΔE_f (raw) = 0.6 eV/f.u.
Crystal system = cubic
Calculated density = 1.80 g cm⁻³
E above lowest polymorph = 1.54 eV per formula unit
Uncorrected energy = -28.05 eV for the cell shown

Cell: 6.7809 6.7809 6.7809 Å, 90.00 90.00 90.00°
Space group F-43m (No. 216)
Unique sites:
Ca  0.0000  0.0000  0.0000 [4 per cell]
Be  0.2500  0.2500  0.7500 [4 per cell]
Cl  0.0000  0.0000  0.5000 [4 per cell]